Entry 1:
An optimized crystal structure of AlCdOs. Source: Alexandria, functional PBE.

a b c (Å): 5.3876 5.3876 5.3876
angles (deg): 145.42 145.46 49.68
With the nearest neighbours (Å) after each atom.
Fractional positions:
Cd1 0.3293 0.3293 0.0000  5 Al 2.92-3.00, 5 Os 2.92-3.04, 4 Cd 3.20
Al1 0.0306 0.0306 0.0000  4 Os 2.50
Os1 0.6401 0.6401 0.0000  4 Al 2.50

E above lowest polymorph, meV/atom: 0
Calculated formation energy, eV/atom: 0.10
Volume, Å³/atom: 16.69
Magnetization, μB per formula unit: 0.000

Entry 2:
An optimized crystal structure of Ac2ErAg3Sn4. Source: Alexandria, functional PBE.

a b c (Å): 4.7414 4.7414 12.2702
angles (deg): 90.00 90.00 90.00
With the nearest neighbours (Å) after each atom.
Fractional positions:
Sn1 0.0000 0.0000 0.0000  4 Ag 2.86
Er1 0.5000 0.5000 0.5000  4 Sn 2.98
Sn2 0.5000 0.0000 0.6477  3 Ag 2.72-2.98, 2 Er 2.98
Sn3 0.5000 0.5000 0.0000  4 Ag 2.86
Ag1 0.0000 0.0000 0.5000  4 Sn 2.98
Ac1 0.0000 0.5000 0.7654  4 Ag 3.59, 8 Sn 3.65-3.73
Ag2 0.5000 0.0000 0.8695  5 Sn 2.72-2.86
Sn4 0.0000 0.5000 0.3523  3 Ag 2.72-2.98, 2 Er 2.98
Ag3 0.0000 0.5000 0.1305  5 Sn 2.72-2.86
Ac2 0.5000 0.0000 0.2346  4 Ag 3.59, 8 Sn 3.65-3.73

Calculated formation energy, eV/atom: -0.49
Volume, Å³/atom: 27.58
Magnetization, μB per formula unit: 0.000

Entry 3:
An optimized crystal structure of Sr2LiPuO5. Source: Alexandria, functional PBE.

a b c (Å): 3.4751 7.1845 11.1099
angles (deg): 90.00 90.00 104.00
With the nearest neighbours (Å) after each atom.
Fractional positions:
Pu1 0.7928 0.5857 0.5243  4 O 2.00-2.22
O1 0.0637 0.1274 0.0304  1 Pu 2.00, 2 Li 2.04
O2 0.6478 0.2957 0.5053  1 Pu 2.03
O3 0.6977 0.3955 0.9012  1 Li 2.10, 2 Pu 2.22
O4 0.3023 0.6045 0.4012  1 Li 2.10, 2 Pu 2.22
O5 0.5048 0.0095 0.2797  1 Li 1.89
O6 0.9363 0.8726 0.5304  1 Pu 2.00, 2 Li 2.04
Sr1 0.1268 0.2536 0.3177  5 O 2.47-2.73
Sr2 0.8732 0.7464 0.8177  5 O 2.47-2.73
Sr3 0.0882 0.1764 0.6766  6 O 2.45-2.71
Sr4 0.9118 0.8236 0.1766  6 O 2.45-2.71
Li1 0.5496 0.0992 0.9351  4 O 1.89-2.10
Li2 0.4504 0.9008 0.4351  4 O 1.89-2.10
O7 0.2792 0.5583 0.6537  2 Pu 2.26
O8 0.4952 0.9905 0.7797  1 Li 1.89
Pu2 0.2072 0.4143 0.0243  4 O 2.00-2.22
O9 0.7208 0.4417 0.1537  2 Pu 2.26
O10 0.3522 0.7043 0.0053  1 Pu 2.03

Formation energy from raw total energies, meV per atom: -2683
Volume, Å³/atom: 14.95
Magnetization, μB per formula unit: 3.000

Entry 4:
An optimized crystal structure of Pm6Pr4Er. Source: Alexandria, functional PBE.

a b c (Å): 9.7564 9.7564 9.7564
angles (deg): 59.18 139.13 139.13
With the nearest neighbours (Å) after each atom.
Fractional positions:
Pr1 0.6212 0.9878 0.9878  5 Pm 3.44-3.76, 1 Er 3.52, 1 Pr 3.65
Pm1 0.6525 0.2063 0.2063  3 Pm 3.24-3.35, 3 Pr 3.44-3.56
Pr2 0.0000 0.0122 0.6334  5 Pm 3.44-3.76, 1 Er 3.52, 1 Pr 3.65
Pm2 0.5000 0.0000 0.5000  4 Pm 3.24, 2 Er 3.41
Pm3 0.0000 0.4462 0.7937  3 Pm 3.24-3.35, 3 Pr 3.44-3.56
Pm4 0.5000 0.5000 0.0000  4 Pm 3.24, 2 Er 3.41
Pm5 0.0000 0.7937 0.4462  3 Pm 3.24-3.35, 3 Pr 3.44-3.56
Pm6 0.3475 0.5538 0.5538  3 Pm 3.24-3.35, 3 Pr 3.44-3.56
Pr3 0.0000 0.6334 0.0122  5 Pm 3.44-3.76, 1 Er 3.52, 1 Pr 3.65
Er1 0.0000 0.0000 0.0000  8 Pm 3.41-3.75, 4 Pr 3.52
Pr4 0.3788 0.3666 0.3666  5 Pm 3.44-3.76, 1 Er 3.52, 1 Pr 3.65

E above lowest polymorph, meV/atom: 130
Calculated formation energy, eV/atom: 0.27
Volume, Å³/atom: 35.80
Magnetization, μB per formula unit: 0.001

Entry 5:
An optimized crystal structure of FeAs. Source: Alexandria, functional PBE.

a b c (Å): 3.1703 4.1272 4.7023
angles (deg): 90.00 109.70 90.00
With the nearest neighbours (Å) after each atom.
Fractional positions:
As1 0.6413 0.2500 0.2807  7 Fe 2.48-2.67
Fe1 0.0750 0.7500 0.1508  2 Fe 2.46, 7 As 2.48-2.67
Fe2 0.9250 0.2500 0.8492  2 Fe 2.46, 7 As 2.48-2.67
As2 0.3587 0.7500 0.7193  7 Fe 2.48-2.67

Calculated formation energy, eV/atom: 0.01
Volume, Å³/atom: 14.48
Magnetization, μB per formula unit: 2.141

Entry 6:
An optimized crystal structure of RbZnSbF6. Source: Alexandria, functional PBE.

a b c (Å): 5.8314 5.8350 5.6871
angles (deg): 90.10 89.88 59.71
With the nearest neighbours (Å) after each atom.
Fractional positions:
F1 0.6956 0.9501 0.3225  1 Zn 2.02
F2 0.5659 0.4132 0.7007  1 Sb 2.12, 1 Zn 2.17
F3 0.9537 0.3493 0.3261  1 Zn 2.02
Rb1 0.0007 0.0001 0.9629  6 F 2.81-2.89
F4 0.4119 0.0222 0.7003  1 Sb 2.12, 1 Zn 2.17
F5 0.3533 0.6959 0.3235  1 Zn 2.01
Sb1 0.3335 0.3337 0.4641  6 F 2.12-2.32
Zn1 0.6662 0.6665 0.4994  6 F 2.01-2.17
F6 0.0188 0.5690 0.7004  1 Sb 2.12, 1 Zn 2.17

Formation energy from raw total energies, meV per atom: -2449
Volume, Å³/atom: 18.57
Magnetization, μB per formula unit: 0.000

Entry 7:
An optimized crystal structure of Th2SiHIr6. Source: Alexandria, functional PBE.

a b c (Å): 6.1340 6.1329 6.6292
angles (deg): 57.31 57.31 87.54
With the nearest neighbours (Å) after each atom.
Fractional positions:
Ir1 0.2469 0.2468 0.4710  1 H 2.07
Ir2 0.7276 0.2723 0.0000  1 H 1.93
Ir3 0.2478 0.2477 0.0344  1 H 2.07
Ir4 0.7531 0.7532 0.5290  1 H 2.07
Ir5 0.7522 0.7523 0.9656  1 H 2.07
H1 0.5000 0.5000 0.0000  6 Ir 1.93-2.07
Si1 0.0000 0.0000 0.0000  6 Ir 2.31-2.37
Ir6 0.2724 0.7277 0.0000  1 H 1.93
Th1 0.2688 0.7311 0.5001  12 Ir 2.96-3.31
Th2 0.7312 0.2689 0.4999  12 Ir 2.96-3.31

Volume, Å³/atom: 16.54
E, eV for the cell shown: -82.6
Magnetization, μB per formula unit: 0.000

Entry 8:
An optimized crystal structure of LiHoEr2Hg4. Source: Alexandria, functional PBE.

a b c (Å): 5.1151 5.1151 8.9631
angles (deg): 73.42 73.42 60.00
With the nearest neighbours (Å) after each atom.
Fractional positions:
Li1 0.5000 0.5000 0.5000  8 Hg 3.11-3.13
Er1 0.7544 0.7544 0.7369  8 Hg 3.05-3.35
Er2 0.2456 0.2456 0.2631  8 Hg 3.05-3.35
Hg1 0.6224 0.6224 0.1327  1 Li 3.11, 4 Er 3.15-3.35, 3 Ho 3.16
Ho1 0.0000 0.0000 0.0000  8 Hg 3.16-3.19
Hg2 0.1257 0.1257 0.6230  4 Er 3.05-3.11, 3 Li 3.13, 1 Ho 3.19
Hg3 0.3776 0.3776 0.8673  1 Li 3.11, 4 Er 3.15-3.35, 3 Ho 3.16
Hg4 0.8743 0.8743 0.3770  4 Er 3.05-3.11, 3 Li 3.13, 1 Ho 3.19

Calculated formation energy, eV/atom: -0.45
Volume, Å³/atom: 23.97
Magnetization, μB per formula unit: 0.000

Entry 9:
An optimized crystal structure of TcMo2W. Source: Alexandria, functional PBE.

a b c (Å): 2.7632 2.7632 8.2896
angles (deg): 90.00 90.00 90.00
With the nearest neighbours (Å) after each atom.
Fractional positions:
Tc1 0.0000 0.0000 0.4981  4 Mo 2.74, 4 Tc 2.76, 4 W 2.77
Mo1 0.0000 0.0000 0.0010  8 Mo 2.76-2.94, 4 W 2.94
W1 0.5000 0.5000 0.7352  4 W 2.76, 4 Tc 2.77, 4 Mo 2.94
Mo2 0.5000 0.5000 0.2657  4 Tc 2.74, 8 Mo 2.76-2.94

E above lowest polymorph, meV/atom: 239
Calculated formation energy, eV/atom: 0.25
Volume, Å³/atom: 15.82
Magnetization, μB per formula unit: 0.000

Entry 10:
An optimized crystal structure of Nd2AlGa2. Source: Alexandria, functional PBE.

a b c (Å): 4.2277 5.9727 5.9727
angles (deg): 59.96 69.27 69.27
With the nearest neighbours (Å) after each atom.
Fractional positions:
Nd1 0.7901 0.7099 0.7099  6 Ga 3.18-3.20, 2 Al 3.46
Nd2 0.2099 0.2901 0.2901  6 Ga 3.18-3.20, 2 Al 3.46
Ga1 0.5000 0.2715 0.7285  2 Al 2.66, 1 Ga 2.73
Ga2 0.5000 0.7285 0.2715  2 Al 2.66, 1 Ga 2.73
Al1 0.0000 0.0000 0.0000  4 Ga 2.66

E above lowest polymorph, meV/atom: 42
Calculated formation energy, eV/atom: -0.54
Volume, Å³/atom: 23.83
Magnetization, μB per formula unit: 0.000

Entry 11:
An optimized crystal structure of PmNd2Sm2. Source: Alexandria, functional PBE.

a b c (Å): 6.4053 11.4008 9.7620
angles (deg): 31.11 70.85 73.69
With the nearest neighbours (Å) after each atom.
Fractional positions:
Sm1 0.9340 0.2498 0.5512  3 Sm 3.63-3.67, 4 Pm 3.63-3.70, 5 Nd 3.64-3.71
Pm1 0.6667 0.7500 0.2500  8 Sm 3.63-3.70, 2 Pm 3.64, 2 Nd 3.68
Nd1 0.1338 0.2500 0.1489  5 Sm 3.64-3.71, 6 Nd 3.64-3.71, 1 Pm 3.68
Sm2 0.2649 0.7498 0.0512  3 Sm 3.63-3.67, 4 Pm 3.63-3.70, 5 Nd 3.64-3.71
Nd2 0.4674 0.7500 0.6489  5 Sm 3.64-3.71, 6 Nd 3.64-3.71, 1 Pm 3.68
Nd3 0.8662 0.7500 0.8511  5 Sm 3.64-3.71, 6 Nd 3.64-3.71, 1 Pm 3.68
Sm3 0.0660 0.7502 0.4488  3 Sm 3.63-3.67, 4 Pm 3.63-3.70, 5 Nd 3.64-3.71
Nd4 0.5326 0.2500 0.3511  5 Sm 3.64-3.71, 6 Nd 3.64-3.71, 1 Pm 3.68
Sm4 0.7351 0.2502 0.9488  3 Sm 3.63-3.67, 4 Pm 3.63-3.70, 5 Nd 3.64-3.71
Pm2 0.3333 0.2500 0.7500  8 Sm 3.63-3.70, 2 Pm 3.64, 2 Nd 3.68

E above lowest polymorph, meV/atom: 0
Calculated formation energy, eV/atom: 0.03
Volume, Å³/atom: 34.80
Magnetization, μB per formula unit: 0.000

Entry 12:
An optimized crystal structure of Th2RuN3. Source: Alexandria, functional PBE.

a b c (Å): 5.3693 6.3066 11.8418
angles (deg): 88.28 85.96 64.81
With the nearest neighbours (Å) after each atom.
Fractional positions:
Th1 0.4473 0.5840 0.6506  5 N 2.38-2.61
Th2 0.6573 0.2009 0.9367  5 N 2.45-2.71
N1 0.1417 0.2088 0.9756  1 Ru 2.16, 1 Th 2.38
N2 0.3505 0.7912 0.4756  1 Ru 2.16, 1 Th 2.38
N3 0.0488 0.9023 0.7500  2 Ru 1.92
N4 0.1026 0.3894 0.3768  1 Ru 2.32, 3 Th 2.45-2.49
N5 0.8974 0.6106 0.6232  1 Ru 2.32, 3 Th 2.45-2.49
N6 0.3682 0.2636 0.7500  2 Ru 2.03
N7 0.5080 0.3894 0.1232  1 Ru 2.32, 3 Th 2.45-2.49
N8 0.9512 0.0977 0.2500  2 Ru 1.92
N9 0.6495 0.2088 0.5244  1 Ru 2.16, 1 Th 2.38
N10 0.6318 0.7364 0.2500  2 Ru 2.03
Th3 0.5527 0.4160 0.3494  5 N 2.38-2.61
Ru1 0.2907 0.0007 0.8233  2 N 1.92-2.03
N11 0.8583 0.7912 0.0244  1 Ru 2.16, 1 Th 2.38
Th4 0.8582 0.7991 0.4367  5 N 2.45-2.71
Th5 0.3427 0.7991 0.0633  5 N 2.45-2.71
Ru2 0.2914 0.9993 0.3233  2 N 1.92-2.03
Ru3 0.7086 0.0007 0.6767  2 N 1.92-2.03
N12 0.4920 0.6106 0.8768  1 Ru 2.32, 3 Th 2.45-2.49
Th6 0.0313 0.4160 0.1506  5 N 2.38-2.61
Th7 0.9687 0.5840 0.8494  5 N 2.38-2.61
Ru4 0.7093 0.9993 0.1767  2 N 1.92-2.03
Th8 0.1418 0.2009 0.5633  5 N 2.45-2.71

Formation energy from raw total energies, meV per atom: -1095
Volume, Å³/atom: 15.08
Magnetization, μB per formula unit: 0.000

Q: Which of these has the highest magnetization?
A: Sr2LiPuO5

Q: The lowest volume belongs to which entry?
A: FeAs

Q: magnetization of number 8 (LiHoEr2Hg4)?
A: 0.000 μB per formula unit